DFT (PBE) results for crystalline Ho6Sb2C at its relaxed geometry.

```
Ho6Sb2C
1.0
6.375 0.000 0.000
0.000 7.810 0.000
-6.052 0.000 9.591
Ho Sb C
12 4 2
direct
0.131 0.164 0.459
0.131 0.336 0.959
0.317 0.710 0.455
0.317 0.790 0.955
0.360 0.025 0.251
0.360 0.475 0.751
0.640 0.525 0.249
0.640 0.975 0.749
0.683 0.210 0.045
0.683 0.290 0.545
0.869 0.664 0.041
0.869 0.836 0.541
0.181 0.108 0.757
0.181 0.392 0.257
0.819 0.608 0.743
0.819 0.892 0.243
0.500 0.000 0.500
0.500 0.500 0.000
```

Summary:
energy	-5.5921	eV per atom
space group	P2_1/c
formation energy (no corrections)	-0.599	eV/atom